(1)
The following is a PBE-GGA calculation of a geometry-optimized BaB2Se4 structure, from the Alexandria database.

Unit cell a=3.3430 b=5.6871 c=8.5861 alpha=90.00 beta=100.95 gamma=90.00
Closest atoms and distances in Å follow each position.
Sites, in units of the cell vectors:
Ba 0.0000 0.0000 0.0000  2 Ba 3.34, 8 B 3.40, 8 Se 3.47-3.70
B 0.4533 0.5000 0.9044  1 B 1.61
B 0.5467 0.5000 0.0956  1 B 1.61
Se 0.1149 0.5000 0.2361  2 B 2.05
Se 0.3045 0.0000 0.6088  2 Se 2.48-2.49
Se 0.6955 0.0000 0.3912  2 Se 2.48-2.49
Se 0.8851 0.5000 0.7639  2 B 2.05

Output
For the distance to the lowest polymorph of the same formula, the calculation gives 0.477 eV per atom. The value obtained for the density of states at the Fermi level is 2.74 states/eV/cell. The calculation puts the formation energy from raw total energies at -4.5 kcal/mol of atoms.

(2)
The following is a PBE-GGA calculation of a geometry-optimized CuGeS2 structure, from the Alexandria database.

Unit cell a=6.1139 b=6.1139 c=6.1139 alpha=119.11 beta=91.35 gamma=119.34
Closest atoms and distances in Å follow each position.
Sites, in units of the cell vectors:
Cu 0.2500 0.2500 0.0000  4 S 2.37
Cu 0.7500 0.7500 0.0000  4 S 2.37
Ge 0.2500 0.7500 0.5000  4 S 2.46
Ge 0.7500 0.2500 0.5000  4 S 2.46
S 0.1208 0.2387 0.3596  2 Cu 2.37, 2 Ge 2.46
S 0.3792 0.7387 0.1179  2 Cu 2.37, 2 Ge 2.46
S 0.6208 0.2613 0.8821  2 Cu 2.37, 2 Ge 2.46
S 0.8792 0.7613 0.6404  2 Cu 2.37, 2 Ge 2.46

Output
The value obtained for the density of states at the Fermi level is 3.41 states/eV/cell. The calculation puts the formation energy from raw total energies at -0.7 kcal/mol of atoms.

(3)
The following is a PBE-GGA calculation of a geometry-optimized ScBOs2Au structure, from the Alexandria database.

Unit cell a=4.7186 b=4.7186 c=4.1875 alpha=90.00 beta=90.00 gamma=90.00
Closest atoms and distances in Å follow each position.
Sites, in units of the cell vectors:
Sc 0.0000 0.0000 0.0000  2 B 2.09
B 0.0000 0.0000 0.5000  2 Sc 2.09
Os 0.0000 0.5000 0.0000  2 Sc 2.36
Os 0.5000 0.0000 0.0000  2 Sc 2.36
Au 0.5000 0.5000 0.5000  8 Os 3.15, 4 B 3.34

Output
The value obtained for the density of states at the Fermi level is 5.57 states/eV/cell. As for the energy relative to the elements: 2.26 eV per atom.

(4)
The following is a PBE-GGA calculation of a geometry-optimized AuCIO2 structure, from the Alexandria database.

Unit cell a=3.8304 b=3.8304 c=8.2950 alpha=90.00 beta=90.00 gamma=90.00
Closest atoms and distances in Å follow each position.
Sites, in units of the cell vectors:
Au 0.0000 0.0000 0.0000  4 O 1.92
C 0.5000 0.5000 0.5000  4 I 2.71
I 0.0000 0.0000 0.5000  4 C 2.71
O 0.0000 0.5000 0.0000  2 Au 1.92
O 0.5000 0.0000 0.0000  2 Au 1.92

Output
For the distance to the lowest polymorph of the same formula, the calculation gives 0.061 eV per atom. The value obtained for the density of states at the Fermi level is 3.75 states/eV/cell. The calculation puts the formation energy from raw total energies at 33.9 kcal/mol of atoms.

(5)
The following is a PBE-GGA calculation of a geometry-optimized TaSCl2 structure, from the Alexandria database.

Unit cell a=11.2112 b=11.2112 c=11.2112 alpha=15.64 beta=15.64 gamma=15.64
Closest atoms and distances in Å follow each position.
Sites, in units of the cell vectors:
Ta 0.0000 0.0000 0.0000  6 Cl 2.54
S 0.5000 0.5000 0.5000  6 S 3.05
Cl 0.3883 0.3883 0.3883  3 Ta 2.54
Cl 0.6117 0.6117 0.6117  3 Ta 2.54

Output
For the distance to the lowest polymorph of the same formula, the calculation gives 0.806 eV per atom. The value obtained for the density of states at the Fermi level is 3.42 states/eV/cell. The calculation puts the formation energy from raw total energies at -4.8 kcal/mol of atoms.

(6)
The following is a PBE-GGA calculation of a geometry-optimized PrAlCd2Au4 structure, from the Alexandria database.

Unit cell a=9.0943 b=9.0943 c=9.0943 alpha=30.03 beta=30.03 gamma=30.03
Closest atoms and distances in Å follow each position.
Sites, in units of the cell vectors:
Pr 0.0000 0.0000 0.0000  8 Au 3.16-3.50, 6 Cd 3.52
Al 0.5000 0.5000 0.5000  8 Au 2.72-2.85
Cd 0.2476 0.2476 0.2476  7 Au 2.79-3.00
Cd 0.7524 0.7524 0.7524  7 Au 2.79-3.00
Au 0.1345 0.1345 0.1345  3 Al 2.85, 4 Cd 2.94-3.00
Au 0.3954 0.3954 0.3954  1 Al 2.72, 3 Cd 2.79
Au 0.6046 0.6046 0.6046  1 Al 2.72, 3 Cd 2.79
Au 0.8655 0.8655 0.8655  3 Al 2.85, 4 Cd 2.94-3.00

Output
The value obtained for the density of states at the Fermi level is 3.69 states/eV/cell. As for the energy relative to the elements: -0.42 eV per atom.

(7)
The following is a PBE-GGA calculation of a geometry-optimized ErLuCu4 structure, from the Alexandria database.

Unit cell a=5.2078 b=5.2078 c=5.2078 alpha=60.00 beta=60.00 gamma=60.00
Closest atoms and distances in Å follow each position.
Sites, in units of the cell vectors:
Er 0.0000 0.0000 0.0000  12 Cu 3.05, 4 Lu 3.19
Lu 0.2500 0.2500 0.2500  12 Cu 3.05, 4 Er 3.19
Cu 0.1258 0.6247 0.6247  6 Cu 2.60-2.61
Cu 0.6247 0.1258 0.6247  6 Cu 2.60-2.61
Cu 0.6247 0.6247 0.1258  6 Cu 2.60-2.61
Cu 0.6247 0.6247 0.6247  6 Cu 2.60-2.61

Output
The value obtained for the density of states at the Fermi level is 5.55 states/eV/cell. As for the energy relative to the elements: -0.21 eV per atom.

(8)
The following is a PBE-GGA calculation of a geometry-optimized Ho3CdSb structure, from the Alexandria database.

Unit cell a=8.5577 b=8.5577 c=5.1110 alpha=90.00 beta=90.00 gamma=124.96
Closest atoms and distances in Å follow each position.
Sites, in units of the cell vectors:
Ho 0.0000 0.5000 0.5000  2 Cd 3.13, 4 Ho 3.49
Ho 0.1626 0.8374 0.0000  2 Cd 2.78, 1 Sb 3.11
Ho 0.3184 0.3184 0.5000  2 Cd 2.87, 1 Ho 2.87
Ho 0.5000 0.0000 0.5000  2 Cd 3.13, 4 Ho 3.49
Ho 0.6816 0.6816 0.5000  2 Cd 2.87, 1 Ho 2.87
Ho 0.8374 0.1626 0.0000  2 Cd 2.78, 1 Sb 3.11
Cd 0.0905 0.9095 0.5000  1 Cd 2.75, 4 Ho 2.78-2.87
Cd 0.9095 0.0905 0.5000  1 Cd 2.75, 4 Ho 2.78-2.87
Sb 0.3672 0.6328 0.0000  1 Ho 3.11
Sb 0.6328 0.3672 0.0000  1 Ho 3.11

Output
The value obtained for the density of states at the Fermi level is 10.31 states/eV/cell. The calculation puts the formation energy from raw total energies at -1.3 kcal/mol of atoms.

(9)
The following is a PBE-GGA calculation of a geometry-optimized BaZr2Co structure, from the Alexandria database.

Unit cell a=5.1302 b=5.1302 c=5.1302 alpha=120.07 beta=120.07 gamma=89.88
Closest atoms and distances in Å follow each position.
Sites, in units of the cell vectors:
Ba 0.0000 0.0000 0.0000  4 Zr 3.14, 4 Co 3.14
Zr 0.5000 0.5000 0.0000  4 Zr 3.14, 4 Co 3.14
Zr 0.7500 0.2500 0.5000  4 Ba 3.14, 4 Zr 3.14
Co 0.2500 0.7500 0.5000  4 Ba 3.14, 4 Zr 3.14

Output
For the distance to the lowest polymorph of the same formula, the calculation gives 0.640 eV per atom. The value obtained for the density of states at the Fermi level is 4.93 states/eV/cell. As for the energy relative to the elements: 0.80 eV per atom.

(10)
The following is a PBE-GGA calculation of a geometry-optimized Tl2AsW structure, from the Alexandria database.

Unit cell a=7.9543 b=7.9543 c=7.9543 alpha=95.28 beta=95.28 gamma=144.68
Closest atoms and distances in Å follow each position.
Sites, in units of the cell vectors:
Tl 0.0000 0.0000 0.0000  2 W 2.75
Tl 0.0000 0.0000 0.5000  2 W 2.75
Tl 0.0000 0.5000 0.0000  2 W 2.75
Tl 0.5000 0.0000 0.5000  2 W 2.75
As 0.3750 0.6250 0.7500  2 W 2.41
As 0.6250 0.3750 0.2500  2 W 2.41
W 0.1250 0.8750 0.2500  2 As 2.41
W 0.8750 0.1250 0.7500  2 As 2.41

Output
For the distance to the lowest polymorph of the same formula, the calculation gives 0.226 eV per atom. The value obtained for the density of states at the Fermi level is 7.85 states/eV/cell. As for the energy relative to the elements: 0.56 eV per atom.

(11)
The following is a PBE-GGA calculation of a geometry-optimized Li4ZrCu structure, from the Alexandria database.

Unit cell a=5.0880 b=5.0880 c=5.0880 alpha=60.00 beta=60.00 gamma=60.00
Closest atoms and distances in Å follow each position.
Sites, in units of the cell vectors:
Li 0.3770 0.3770 0.3770  6 Li 2.50-2.59
Li 0.3770 0.3770 0.8689  6 Li 2.50-2.59
Li 0.3770 0.8689 0.3770  6 Li 2.50-2.59
Li 0.8689 0.3770 0.3770  6 Li 2.50-2.59
Zr 0.0000 0.0000 0.0000  12 Li 2.99, 4 Cu 3.12
Cu 0.7500 0.7500 0.7500  12 Li 2.98, 4 Zr 3.12

Output
The value obtained for the density of states at the Fermi level is 3.63 states/eV/cell. As for the energy relative to the elements: 0.26 eV per atom.

(12)
The following is a PBE-GGA calculation of a geometry-optimized YbSm2S4 structure, from the Alexandria database.

Unit cell a=7.3348 b=7.3348 c=7.3348 alpha=109.56 beta=109.56 gamma=109.30
Closest atoms and distances in Å follow each position.
Sites, in units of the cell vectors:
Yb 0.0000 0.0000 0.0000  8 S 2.83-3.05
Yb 0.7500 0.2500 0.5000  8 S 2.83-3.05
Sm 0.2472 0.6250 0.1222  8 S 2.83-3.05
Sm 0.3750 0.4972 0.6222  8 S 2.83-3.05
Sm 0.5028 0.1250 0.8778  8 S 2.83-3.05
Sm 0.8750 0.7528 0.3778  8 S 2.83-3.05
S 0.1254 0.2309 0.7483  2 Yb 2.83-3.05, 4 Sm 2.83-3.05
S 0.1271 0.7326 0.7517  2 Yb 2.83-3.05, 4 Sm 2.83-3.05
S 0.2674 0.0191 0.3945  2 Yb 2.83-3.05, 4 Sm 2.83-3.05
S 0.4826 0.3771 0.2517  2 Yb 2.83-3.05, 4 Sm 2.83-3.05
S 0.6229 0.8746 0.1055  2 Yb 2.83-3.05, 4 Sm 2.83-3.05
S 0.6246 0.8729 0.6055  2 Yb 2.83-3.05, 4 Sm 2.83-3.05
S 0.7691 0.5174 0.8945  2 Yb 2.83-3.05, 4 Sm 2.83-3.05
S 0.9809 0.3754 0.2483  2 Yb 2.83-3.05, 4 Sm 2.83-3.05

Output
The value obtained for the density of states at the Fermi level is 15.32 states/eV/cell. The calculation puts the formation energy from raw total energies at -48.1 kcal/mol of atoms.

(13)
The following is a PBE-GGA calculation of a geometry-optimized PmPr2PuAs4 structure, from the Alexandria database.

Unit cell a=7.3494 b=4.2528 c=7.3512 alpha=90.00 beta=109.46 gamma=90.00
Closest atoms and distances in Å follow each position.
Sites, in units of the cell vectors:
Pm 0.0000 0.0000 0.0000  6 As 2.98-2.99
Pr 0.0000 0.5000 0.5000  6 As 3.06
Pr 0.5000 0.0000 0.5000  6 As 3.02
Pu 0.5000 0.5000 0.0000  6 As 2.94-2.95
As 0.2519 0.5000 0.2425  1 Pu 2.94, 2 Pm 2.99, 3 Pr 3.02-3.06
As 0.2580 0.0000 0.7609  2 Pu 2.95, 1 Pm 2.98, 3 Pr 3.02-3.06
As 0.7420 0.0000 0.2391  2 Pu 2.95, 1 Pm 2.98, 3 Pr 3.02-3.06
As 0.7481 0.5000 0.7575  1 Pu 2.94, 2 Pm 2.99, 3 Pr 3.02-3.06

Output
The value obtained for the density of states at the Fermi level is 14.02 states/eV/cell. As for the energy relative to the elements: -1.37 eV per atom.

(14)
The following is a PBE-GGA calculation of a geometry-optimized AcHoPt2 structure, from the Alexandria database.

Unit cell a=7.5573 b=7.5573 c=7.5573 alpha=32.00 beta=32.00 gamma=32.00
Closest atoms and distances in Å follow each position.
Sites, in units of the cell vectors:
Ac 0.0000 0.0000 0.0000  6 Pt 3.07-3.15
Ho 0.1730 0.1730 0.1730  6 Pt 2.86-2.93
Pt 0.5780 0.5780 0.5780  3 Ho 2.86, 3 Ac 3.07
Pt 0.7616 0.7616 0.7616  3 Ho 2.93, 3 Ac 3.15

Output
For the distance to the lowest polymorph of the same formula, the calculation gives 0.098 eV per atom. The value obtained for the density of states at the Fermi level is 2.36 states/eV/cell. As for the energy relative to the elements: -1.05 eV per atom.

(15)
The following is a PBE-GGA calculation of a geometry-optimized TmCdCu5 structure, from the Alexandria database.

Unit cell a=8.2322 b=4.9986 c=10.4789 alpha=90.00 beta=90.00 gamma=90.00
Closest atoms and distances in Å follow each position.
Sites, in units of the cell vectors:
Tm 0.2486 0.2500 0.0650  10 Cu 2.89-3.17
Tm 0.2514 0.7500 0.5650  10 Cu 2.89-3.17
Tm 0.7486 0.2500 0.4350  10 Cu 2.89-3.17
Tm 0.7514 0.7500 0.9350  10 Cu 2.89-3.17
Cd 0.1347 0.7500 0.8637  8 Cu 2.62-2.84
Cd 0.3653 0.2500 0.3637  8 Cu 2.62-2.84
Cd 0.6347 0.7500 0.6363  8 Cu 2.62-2.84
Cd 0.8653 0.2500 0.1363  8 Cu 2.62-2.84
Cu 0.0527 0.7500 0.1058  4 Cu 2.52-2.57, 1 Cd 2.62
Cu 0.0683 0.0024 0.3138  7 Cu 2.46-2.52
Cu 0.0683 0.4976 0.3138  7 Cu 2.46-2.52
Cu 0.0854 0.2500 0.5167  5 Cu 2.46-2.52
Cu 0.1869 0.2500 0.7410  7 Cu 2.49-2.57
Cu 0.3131 0.7500 0.2410  7 Cu 2.49-2.57
Cu 0.4146 0.7500 0.0167  5 Cu 2.46-2.52
Cu 0.4317 0.5024 0.8138  7 Cu 2.46-2.52
Cu 0.4317 0.9976 0.8138  7 Cu 2.46-2.52
Cu 0.4473 0.2500 0.6058  4 Cu 2.52-2.57, 1 Cd 2.62
Cu 0.5527 0.7500 0.3942  4 Cu 2.52-2.57, 1 Cd 2.62
Cu 0.5683 0.0024 0.1862  7 Cu 2.46-2.52
Cu 0.5683 0.4976 0.1862  7 Cu 2.46-2.52
Cu 0.5854 0.2500 0.9833  5 Cu 2.46-2.52
Cu 0.6869 0.2500 0.7590  7 Cu 2.49-2.57
Cu 0.8131 0.7500 0.2590  7 Cu 2.49-2.57
Cu 0.9146 0.7500 0.4833  5 Cu 2.46-2.52
Cu 0.9317 0.5024 0.6862  7 Cu 2.46-2.52
Cu 0.9317 0.9976 0.6862  7 Cu 2.46-2.52
Cu 0.9473 0.2500 0.8942  4 Cu 2.52-2.57, 1 Cd 2.62

Output
The value obtained for the density of states at the Fermi level is 14.62 states/eV/cell. As for the energy relative to the elements: -0.18 eV per atom.

(16)
The following is a PBE-GGA calculation of a geometry-optimized YZr2Re structure, from the Alexandria database.

Unit cell a=3.3468 b=3.3468 c=8.1905 alpha=90.00 beta=90.00 gamma=90.00
Closest atoms and distances in Å follow each position.
Sites, in units of the cell vectors:
Y 0.0000 0.0000 0.0000  4 Y 3.35, 8 Zr 3.46
Zr 0.5000 0.5000 0.3089  4 Re 2.84, 1 Zr 3.13
Zr 0.5000 0.5000 0.6911  4 Re 2.84, 1 Zr 3.13
Re 0.0000 0.0000 0.5000  8 Zr 2.84

Output
For the distance to the lowest polymorph of the same formula, the calculation gives 0.008 eV per atom. The value obtained for the density of states at the Fermi level is 6.38 states/eV/cell. As for the energy relative to the elements: -0.02 eV per atom.